1.
BaAlZn2Sn: optimized geometry, PBE.

Unit cell a=6.550 b=6.550 c=6.550 alpha=138.63 beta=138.63 gamma=59.95
Sites, in units of the cell vectors:
Ba  0.000  0.000  0.000
Al  0.376  0.376  0.000
Zn  0.263  0.763  0.500
Zn  0.763  0.263  0.500
Sn  0.624  0.624  0.000

Results
space-group type: I4mm, No. 107
total DFT energy (no corrections): -2.76 eV per atom

2.
BaAl2Tc: optimized geometry, PBE.

Unit cell a=4.911 b=4.911 c=4.911 alpha=60.00 beta=60.00 gamma=60.00
Sites, in units of the cell vectors:
Ba  0.000  0.000  0.000
Al  0.500  0.500  0.500
Al  0.750  0.750  0.750
Tc  0.250  0.250  0.250

Results
space-group type: F-43m, No. 216
total moment: 0.3 μB/f.u.
total DFT energy (no corrections): -4.29 eV per atom

3.
BaAl3Tc: optimized geometry, PBE.

Unit cell a=6.915 b=6.915 c=4.936 alpha=90.00 beta=90.00 gamma=90.00
Sites, in units of the cell vectors:
Ba  0.250  0.750  0.000
Ba  0.750  0.250  0.000
Al  0.000  0.000  0.500
Al  0.000  0.500  0.500
Al  0.250  0.250  0.063
Al  0.500  0.000  0.500
Al  0.500  0.500  0.500
Al  0.750  0.750  0.937
Tc  0.250  0.250  0.563
Tc  0.750  0.750  0.437

Results
space-group type: P4/nmm, No. 129
total moment: 0.0 μB/f.u.
total DFT energy (no corrections): -5.02 eV per atom

4.
BaAl3Tc: optimized geometry, PBE.

Unit cell a=4.913 b=4.913 c=4.913 alpha=90.00 beta=90.00 gamma=90.00
Sites, in units of the cell vectors:
Ba  0.000  0.000  0.000
Al  0.000  0.500  0.500
Al  0.500  0.000  0.500
Al  0.500  0.500  0.000
Tc  0.500  0.500  0.500

Results
space-group type: Pm-3m, No. 221
total moment: 0.0 μB/f.u.
total DFT energy (no corrections): -5.02 eV per atom

5.
BaThAl: optimized geometry, PBE.

Unit cell a=5.384 b=5.384 c=5.384 alpha=60.00 beta=60.00 gamma=60.00
Sites, in units of the cell vectors:
Ba  0.000  0.000  0.000
Th  0.500  0.500  0.500
Al  0.250  0.250  0.250

Results
space-group type: F-43m, No. 216
total moment: 0.4 μB/f.u.
total DFT energy (no corrections): -3.98 eV per atom

6.
BaTmAl: optimized geometry, PBE.

Unit cell a=5.417 b=5.417 c=5.417 alpha=60.00 beta=60.00 gamma=60.00
Sites, in units of the cell vectors:
Ba  0.000  0.000  0.000
Tm  0.500  0.500  0.500
Al  0.250  0.250  0.250

Results
space-group type: F-43m, No. 216
total moment: 0.0 μB/f.u.
total DFT energy (no corrections): -3.17 eV per atom

7.
BaAlW: optimized geometry, PBE.

Unit cell a=4.935 b=4.935 c=4.935 alpha=60.00 beta=60.00 gamma=60.00
Sites, in units of the cell vectors:
Ba  0.000  0.000  0.000
Al  0.500  0.500  0.500
W  0.750  0.750  0.750

Results
space-group type: F-43m, No. 216
total moment: 2.5 μB/f.u.
total DFT energy (no corrections): -4.81 eV per atom

8.
BaAl2Zn: optimized geometry, PBE.

Unit cell a=5.150 b=5.150 c=5.150 alpha=60.00 beta=60.00 gamma=60.00
Sites, in units of the cell vectors:
Ba  0.000  0.000  0.000
Al  0.500  0.500  0.500
Al  0.750  0.750  0.750
Zn  0.250  0.250  0.250

Results
space-group type: F-43m, No. 216
total DFT energy (no corrections): -2.62 eV per atom

9.
BeAlBiOs: optimized geometry, PBE.

Unit cell a=4.556 b=4.556 c=4.556 alpha=60.00 beta=60.00 gamma=60.00
Sites, in units of the cell vectors:
Be  0.000  0.000  0.000
Al  0.500  0.500  0.500
Bi  0.250  0.250  0.250
Os  0.750  0.750  0.750

Results
space-group type: F-43m, No. 216
total moment: 0.0 μB/f.u.
total DFT energy (no corrections): -5.00 eV per atom

10.
BeAlBiOs: optimized geometry, PBE.

Unit cell a=4.553 b=4.553 c=4.553 alpha=60.00 beta=60.00 gamma=60.00
Sites, in units of the cell vectors:
Be  0.000  0.000  0.000
Al  0.750  0.750  0.750
Bi  0.250  0.250  0.250
Os  0.500  0.500  0.500

Results
space-group type: F-43m, No. 216
total moment: 0.0 μB/f.u.
total DFT energy (no corrections): -5.05 eV per atom

11.
Be2AlCd: optimized geometry, PBE.

Unit cell a=4.327 b=4.327 c=4.327 alpha=60.00 beta=60.00 gamma=60.00
Sites, in units of the cell vectors:
Be  0.000  0.000  0.000
Be  0.250  0.250  0.250
Al  0.500  0.500  0.500
Cd  0.750  0.750  0.750

Results
space-group type: F-43m, No. 216
total DFT energy (no corrections): -2.41 eV per atom

12.
BeAlCdCo: optimized geometry, PBE.

Unit cell a=4.209 b=4.209 c=4.209 alpha=60.00 beta=60.00 gamma=60.00
Sites, in units of the cell vectors:
Be  0.000  0.000  0.000
Al  0.500  0.500  0.500
Cd  0.250  0.250  0.250
Co  0.750  0.750  0.750

Results
space-group type: F-43m, No. 216
total moment: 0.0 μB/f.u.
total DFT energy (no corrections): -3.71 eV per atom

13.
BeAlCdCo: optimized geometry, PBE.

Unit cell a=4.227 b=4.227 c=4.227 alpha=60.00 beta=60.00 gamma=60.00
Sites, in units of the cell vectors:
Be  0.000  0.000  0.000
Al  0.250  0.250  0.250
Cd  0.750  0.750  0.750
Co  0.500  0.500  0.500

Results
space-group type: F-43m, No. 216
total moment: 0.0 μB/f.u.
total DFT energy (no corrections): -3.71 eV per atom

14.
BeAlCdCu: optimized geometry, PBE.

Unit cell a=4.344 b=4.344 c=4.344 alpha=60.00 beta=60.00 gamma=60.00
Sites, in units of the cell vectors:
Be  0.000  0.000  0.000
Al  0.250  0.250  0.250
Cd  0.750  0.750  0.750
Cu  0.500  0.500  0.500

Results
space-group type: F-43m, No. 216
total DFT energy (no corrections): -2.75 eV per atom

15.
BeAlCdCu: optimized geometry, PBE.

Unit cell a=4.330 b=4.330 c=4.330 alpha=60.00 beta=60.00 gamma=60.00
Sites, in units of the cell vectors:
Be  0.000  0.000  0.000
Al  0.500  0.500  0.500
Cd  0.250  0.250  0.250
Cu  0.750  0.750  0.750

Results
space-group type: F-43m, No. 216
total DFT energy (no corrections): -2.71 eV per atom

16.
BeAl2Co: optimized geometry, PBE.

Unit cell a=4.055 b=4.055 c=4.055 alpha=60.00 beta=60.00 gamma=60.00
Sites, in units of the cell vectors:
Be  0.000  0.000  0.000
Al  0.500  0.500  0.500
Al  0.750  0.750  0.750
Co  0.250  0.250  0.250

Results
space-group type: F-43m, No. 216
total moment: 0.0 μB/f.u.
total DFT energy (no corrections): -4.66 eV per atom

17.
BeAlCo: optimized geometry, PBE.

Unit cell a=3.797 b=3.797 c=3.797 alpha=60.00 beta=60.00 gamma=60.00
Sites, in units of the cell vectors:
Be  0.000  0.000  0.000
Al  0.250  0.250  0.250
Co  0.500  0.500  0.500

Results
space-group type: F-43m, No. 216
total moment: 0.0 μB/f.u.
total DFT energy (no corrections): -4.53 eV per atom

18.
Be2AlCo: optimized geometry, PBE.

Unit cell a=3.853 b=3.853 c=3.853 alpha=60.00 beta=60.00 gamma=60.00
Sites, in units of the cell vectors:
Be  0.000  0.000  0.000
Be  0.250  0.250  0.250
Al  0.750  0.750  0.750
Co  0.500  0.500  0.500

Results
space-group type: F-43m, No. 216
total moment: 0.0 μB/f.u.
total DFT energy (no corrections): -4.74 eV per atom

19.
Be2AlCo2: optimized geometry, PBE.

Unit cell a=6.031 b=6.031 c=2.652 alpha=90.00 beta=90.00 gamma=90.00
Sites, in units of the cell vectors:
Be  0.121  0.379  0.000
Be  0.379  0.879  0.000
Be  0.621  0.121  0.000
Be  0.879  0.621  0.000
Al  0.000  0.000  0.000
Al  0.500  0.500  0.000
Co  0.172  0.672  0.500
Co  0.328  0.172  0.500
Co  0.672  0.828  0.500
Co  0.828  0.328  0.500

Results
space-group type: P4/mbm, No. 127
total moment: 0.0 μB/f.u.
total DFT energy (no corrections): -5.48 eV per atom

20.
BeAlCo: optimized geometry, PBE.

Unit cell a=3.789 b=3.789 c=3.789 alpha=60.00 beta=60.00 gamma=60.00
Sites, in units of the cell vectors:
Be  0.000  0.000  0.000
Al  0.500  0.500  0.500
Co  0.750  0.750  0.750

Results
space-group type: F-43m, No. 216
total moment: 0.0 μB/f.u.
total DFT energy (no corrections): -4.81 eV per atom